No. 1
# PBE-GGA NaSb2Ru2, optimized geometry
# - Formation energy from raw total energies: 0.08 eV per atom
# - Size of the total moment: 0.00 μB per formula unit
# - Calculated volume: 21.6 Å³ per atom
data_NaSb2Ru2
_chemical_formula_sum 'Na1 Sb2 Ru2'
_space_group_name_H-M_alt 'P 1'
_space_group_IT_number 1
_cell_length_a 6.0612
_cell_length_b 6.0612
_cell_length_c 6.0612
_cell_angle_alpha 135.41
_cell_angle_beta 135.41
_cell_angle_gamma 64.89
loop_
_space_group_symop_operation_xyz
'x,y,z'
loop_
_atom_site_label
_atom_site_type_symbol
_atom_site_fract_x
_atom_site_fract_y
_atom_site_fract_z
Na1 Na 0.0000 0.0000 0.0000
Sb1 Sb 0.2500 0.7500 0.5000
Sb2 Sb 0.7500 0.2500 0.5000
Ru1 Ru 0.3829 0.3829 0.0000
Ru2 Ru 0.6171 0.6171 0.0000


No. 2
# PBE-GGA NaSbRu, optimized geometry
# - Formation energy from raw total energies: -0.02 eV per atom
# - Size of the total moment: 0.22 μB per formula unit
# - Calculated volume: 21.1 Å³ per atom
data_NaSbRu
_chemical_formula_sum 'Na2 Sb2 Ru2'
_space_group_name_H-M_alt 'P 1'
_space_group_IT_number 1
_cell_length_a 4.9973
_cell_length_b 4.9976
_cell_length_c 6.0711
_cell_angle_alpha 105.84
_cell_angle_beta 105.96
_cell_angle_gamma 108.91
loop_
_space_group_symop_operation_xyz
'x,y,z'
loop_
_atom_site_label
_atom_site_type_symbol
_atom_site_fract_x
_atom_site_fract_y
_atom_site_fract_z
Na1 Na 0.1741 0.3252 0.4994
Na2 Na 0.8259 0.6748 0.5006
Sb1 Sb 0.3422 0.8423 0.1679
Sb2 Sb 0.6578 0.1577 0.8321
Ru1 Ru 0.2451 0.2556 0.0000
Ru2 Ru 0.7549 0.7444 0.0000


No. 3
# PBE-GGA NaSbRu, optimized geometry
# - Formation energy from raw total energies: -0.01 eV per atom
# - Size of the total moment: 0.00 μB per formula unit
# - Calculated volume: 24.6 Å³ per atom
data_NaSbRu
_chemical_formula_sum 'Na2 Sb2 Ru2'
_space_group_name_H-M_alt 'P 1'
_space_group_IT_number 1
_cell_length_a 3.2431
_cell_length_b 4.7718
_cell_length_c 10.2348
_cell_angle_alpha 84.65
_cell_angle_beta 82.11
_cell_angle_gamma 70.29
loop_
_space_group_symop_operation_xyz
'x,y,z'
loop_
_atom_site_label
_atom_site_type_symbol
_atom_site_fract_x
_atom_site_fract_y
_atom_site_fract_z
Na1 Na 0.0000 0.0000 0.0000
Na2 Na 0.4453 0.4997 0.7111
Sb1 Sb 0.2007 0.4292 0.1957
Sb2 Sb 0.8012 0.9744 0.4932
Ru1 Ru 0.0990 0.4174 0.4525
Ru2 Ru 0.4539 0.8528 0.2796


No. 4
# PBE-GGA NaSbRu, optimized geometry
# - Formation energy from raw total energies: -0.07 eV per atom
# - Size of the total moment: 0.00 μB per formula unit
# - Calculated volume: 22.6 Å³ per atom
data_NaSbRu
_chemical_formula_sum 'Na2 Sb2 Ru2'
_space_group_name_H-M_alt 'P 1'
_space_group_IT_number 1
_cell_length_a 8.2193
_cell_length_b 8.2193
_cell_length_c 4.0273
_cell_angle_alpha 104.14
_cell_angle_beta 104.14
_cell_angle_gamma 31.06
loop_
_space_group_symop_operation_xyz
'x,y,z'
loop_
_atom_site_label
_atom_site_type_symbol
_atom_site_fract_x
_atom_site_fract_y
_atom_site_fract_z
Na1 Na 0.1745 0.1745 0.1737
Na2 Na 0.8255 0.8255 0.8263
Sb1 Sb 0.4031 0.3797 0.3917
Sb2 Sb 0.6203 0.5969 0.6083
Ru1 Ru 0.3459 0.6541 0.0000
Ru2 Ru 0.9824 0.0176 0.5000


No. 5
# PBE-GGA NaSbRu, optimized geometry
# - Formation energy from raw total energies: -0.02 eV per atom
# - Size of the total moment: 0.00 μB per formula unit
# - Calculated volume: 22.4 Å³ per atom
data_NaSbRu
_chemical_formula_sum 'Na2 Sb2 Ru2'
_space_group_name_H-M_alt 'P 1'
_space_group_IT_number 1
_cell_length_a 3.1540
_cell_length_b 3.9271
_cell_length_c 10.8647
_cell_angle_alpha 90.00
_cell_angle_beta 90.10
_cell_angle_gamma 90.00
loop_
_space_group_symop_operation_xyz
'x,y,z'
loop_
_atom_site_label
_atom_site_type_symbol
_atom_site_fract_x
_atom_site_fract_y
_atom_site_fract_z
Na1 Na 0.2475 0.2500 0.1294
Na2 Na 0.7525 0.7500 0.8706
Sb1 Sb 0.2515 0.2500 0.6722
Sb2 Sb 0.7485 0.7500 0.3278
Ru1 Ru 0.2496 0.2500 0.4243
Ru2 Ru 0.7504 0.7500 0.5757


No. 6
# PBE-GGA NaSbRu, optimized geometry
# - Formation energy from raw total energies: -0.05 eV per atom
# - Size of the total moment: 0.00 μB per formula unit
# - Calculated volume: 20.7 Å³ per atom
data_NaSbRu
_chemical_formula_sum 'Na2 Sb2 Ru2'
_space_group_name_H-M_alt 'P 1'
_space_group_IT_number 1
_cell_length_a 3.1253
_cell_length_b 5.5554
_cell_length_c 7.9112
_cell_angle_alpha 71.06
_cell_angle_beta 89.95
_cell_angle_gamma 73.75
loop_
_space_group_symop_operation_xyz
'x,y,z'
loop_
_atom_site_label
_atom_site_type_symbol
_atom_site_fract_x
_atom_site_fract_y
_atom_site_fract_z
Na1 Na 0.1570 0.1857 0.1289
Na2 Na 0.8430 0.8143 0.8711
Sb1 Sb 0.4561 0.5897 0.2798
Sb2 Sb 0.5439 0.4103 0.7202
Ru1 Ru 0.1442 0.2119 0.5081
Ru2 Ru 0.8558 0.7881 0.4919


No. 7
# PBE-GGA NaSnSbRu2, optimized geometry
# - Formation energy from raw total energies: 1.09 eV per atom
# - Size of the total moment: 1.77 μB per formula unit
# - Calculated volume: 27.8 Å³ per atom
data_NaSnSbRu2
_chemical_formula_sum 'Na1 Sn1 Sb1 Ru2'
_space_group_name_H-M_alt 'P 1'
_space_group_IT_number 1
_cell_length_a 4.9367
_cell_length_b 4.9367
_cell_length_c 5.7125
_cell_angle_alpha 90.00
_cell_angle_beta 90.00
_cell_angle_gamma 90.00
loop_
_space_group_symop_operation_xyz
'x,y,z'
loop_
_atom_site_label
_atom_site_type_symbol
_atom_site_fract_x
_atom_site_fract_y
_atom_site_fract_z
Na1 Na 0.0000 0.0000 0.0000
Sn1 Sn 0.5000 0.5000 0.0000
Sb1 Sb 0.5000 0.5000 0.5000
Ru1 Ru 0.0000 0.5000 0.5000
Ru2 Ru 0.5000 0.0000 0.5000


No. 8
# PBE-GGA NaTcSbRu2, optimized geometry
# - Formation energy from raw total energies: 1.07 eV per atom
# - Size of the total moment: 0.00 μB per formula unit
# - Calculated volume: 22.8 Å³ per atom
data_NaTcSbRu2
_chemical_formula_sum 'Na1 Tc1 Sb1 Ru2'
_space_group_name_H-M_alt 'P 1'
_space_group_IT_number 1
_cell_length_a 4.7435
_cell_length_b 4.7435
_cell_length_c 5.0728
_cell_angle_alpha 90.00
_cell_angle_beta 90.00
_cell_angle_gamma 90.00
loop_
_space_group_symop_operation_xyz
'x,y,z'
loop_
_atom_site_label
_atom_site_type_symbol
_atom_site_fract_x
_atom_site_fract_y
_atom_site_fract_z
Na1 Na 0.0000 0.0000 0.0000
Tc1 Tc 0.5000 0.5000 0.5000
Sb1 Sb 0.5000 0.5000 0.0000
Ru1 Ru 0.0000 0.5000 0.5000
Ru2 Ru 0.5000 0.0000 0.5000


No. 9
# PBE-GGA NaScRu2, optimized geometry
# - E_tot: -24.33 eV per formula unit
# - Size of the total moment: 0.00 μB per formula unit
# - Calculated volume: 16.6 Å³ per atom
data_NaScRu2
_chemical_formula_sum 'Na1 Sc1 Ru2'
_space_group_name_H-M_alt 'P 1'
_space_group_IT_number 1
_cell_length_a 4.5425
_cell_length_b 4.5425
_cell_length_c 4.5425
_cell_angle_alpha 60.00
_cell_angle_beta 60.00
_cell_angle_gamma 60.00
loop_
_space_group_symop_operation_xyz
'x,y,z'
loop_
_atom_site_label
_atom_site_type_symbol
_atom_site_fract_x
_atom_site_fract_y
_atom_site_fract_z
Na1 Na 0.0000 0.0000 0.0000
Sc1 Sc 0.5000 0.5000 0.5000
Ru1 Ru 0.2500 0.2500 0.2500
Ru2 Ru 0.7500 0.7500 0.7500


No. 10
# PBE-GGA NaSc2Ru2, optimized geometry
# - E_tot: -32.67 eV per formula unit
# - Size of the total moment: 0.00 μB per formula unit
# - Calculated volume: 18.7 Å³ per atom
data_NaSc2Ru2
_chemical_formula_sum 'Na2 Sc4 Ru4'
_space_group_name_H-M_alt 'P 1'
_space_group_IT_number 1
_cell_length_a 7.8076
_cell_length_b 7.8076
_cell_length_c 3.0666
_cell_angle_alpha 90.00
_cell_angle_beta 90.00
_cell_angle_gamma 90.00
loop_
_space_group_symop_operation_xyz
'x,y,z'
loop_
_atom_site_label
_atom_site_type_symbol
_atom_site_fract_x
_atom_site_fract_y
_atom_site_fract_z
Na1 Na 0.0000 0.0000 0.0000
Na2 Na 0.5000 0.5000 0.0000
Sc1 Sc 0.1429 0.3571 0.0000
Sc2 Sc 0.3571 0.8571 0.0000
Sc3 Sc 0.6429 0.1429 0.0000
Sc4 Sc 0.8571 0.6429 0.0000
Ru1 Ru 0.1475 0.6475 0.5000
Ru2 Ru 0.3525 0.1475 0.5000
Ru3 Ru 0.6475 0.8525 0.5000
Ru4 Ru 0.8525 0.3525 0.5000


No. 11
# PBE-GGA NaScRu3, optimized geometry
# - E_tot: -28.33 eV per formula unit
# - Size of the total moment: 3.90 μB per formula unit
# - Calculated volume: 21.5 Å³ per atom
data_NaScRu3
_chemical_formula_sum 'Na1 Sc1 Ru3'
_space_group_name_H-M_alt 'P 1'
_space_group_IT_number 1
_cell_length_a 4.7525
_cell_length_b 4.7525
_cell_length_c 4.7525
_cell_angle_alpha 90.00
_cell_angle_beta 90.00
_cell_angle_gamma 90.00
loop_
_space_group_symop_operation_xyz
'x,y,z'
loop_
_atom_site_label
_atom_site_type_symbol
_atom_site_fract_x
_atom_site_fract_y
_atom_site_fract_z
Na1 Na 0.0000 0.0000 0.0000
Sc1 Sc 0.5000 0.5000 0.5000
Ru1 Ru 0.0000 0.5000 0.5000
Ru2 Ru 0.5000 0.0000 0.5000
Ru3 Ru 0.5000 0.5000 0.0000


No. 12
# PBE-GGA NaSc2Ru2, optimized geometry
# - E_tot: -32.84 eV per formula unit
# - Size of the total moment: 0.00 μB per formula unit
# - Calculated volume: 18.7 Å³ per atom
data_NaSc2Ru2
_chemical_formula_sum 'Na2 Sc4 Ru4'
_space_group_name_H-M_alt 'P 1'
_space_group_IT_number 1
_cell_length_a 7.6841
_cell_length_b 7.6841
_cell_length_c 3.1736
_cell_angle_alpha 90.00
_cell_angle_beta 90.00
_cell_angle_gamma 90.00
loop_
_space_group_symop_operation_xyz
'x,y,z'
loop_
_atom_site_label
_atom_site_type_symbol
_atom_site_fract_x
_atom_site_fract_y
_atom_site_fract_z
Na1 Na 0.0000 0.0000 0.0000
Na2 Na 0.5000 0.5000 0.0000
Sc1 Sc 0.1492 0.3508 0.5000
Sc2 Sc 0.3508 0.8508 0.5000
Sc3 Sc 0.6492 0.1492 0.5000
Sc4 Sc 0.8508 0.6492 0.5000
Ru1 Ru 0.1403 0.6403 0.0000
Ru2 Ru 0.3597 0.1403 0.0000
Ru3 Ru 0.6403 0.8597 0.0000
Ru4 Ru 0.8597 0.3597 0.0000


Question: size of the total moment of number 6 (NaSbRu)?
Answer: 0.00 μB per formula unit


Question: calculated volume of number 7 (NaSnSbRu2)?
Answer: 27.8 Å³ per atom


Copy entry 10 word for word.
# PBE-GGA NaSc2Ru2, optimized geometry
# - E_tot: -32.67 eV per formula unit
# - Size of the total moment: 0.00 μB per formula unit
# - Calculated volume: 18.7 Å³ per atom
data_NaSc2Ru2
_chemical_formula_sum 'Na2 Sc4 Ru4'
_space_group_name_H-M_alt 'P 1'
_space_group_IT_number 1
_cell_length_a 7.8076
_cell_length_b 7.8076
_cell_length_c 3.0666
_cell_angle_alpha 90.00
_cell_angle_beta 90.00
_cell_angle_gamma 90.00
loop_
_space_group_symop_operation_xyz
'x,y,z'
loop_
_atom_site_label
_atom_site_type_symbol
_atom_site_fract_x
_atom_site_fract_y
_atom_site_fract_z
Na1 Na 0.0000 0.0000 0.0000
Na2 Na 0.5000 0.5000 0.0000
Sc1 Sc 0.1429 0.3571 0.0000
Sc2 Sc 0.3571 0.8571 0.0000
Sc3 Sc 0.6429 0.1429 0.0000
Sc4 Sc 0.8571 0.6429 0.0000
Ru1 Ru 0.1475 0.6475 0.5000
Ru2 Ru 0.3525 0.1475 0.5000
Ru3 Ru 0.6475 0.8525 0.5000
Ru4 Ru 0.8525 0.3525 0.5000